A geometry-optimized LiAcF4 structure. Source: Alexandria via LeMat-Bulk, functional GGA-PBE.

Cell lengths 4.2282, 4.2282, 5.4910 Å; angles 100.30, 100.30, 87.39 degrees
Closest atoms and distances in Å follow each position.
Atoms (fractional coordinates):
Li 0.0000 0.0000 0.0000  4 F 1.99
Ac 0.5000 0.5000 0.5000  8 F 2.50-2.55
F 0.0618 0.6027 0.7568  1 Li 1.99
F 0.3973 0.9382 0.2432  1 Li 1.99
F 0.6027 0.0618 0.7568  1 Li 1.99
F 0.9382 0.3973 0.2432  1 Li 1.99

Calculated volume ... 15.84 A^3/atom
Space group ... C2/m (12)
Calculated total energy ... -5.978 eV per atom

=====

A geometry-optimized BaCdRe2 structure. Source: Alexandria via LeMat-Bulk, functional GGA-PBE.

Cell lengths 4.1575, 4.1575, 5.0520 Å; angles 90.00, 90.00, 90.00 degrees
Closest atoms and distances in Å follow each position.
Atoms (fractional coordinates):
Ba 0.0000 0.0000 0.0000  4 Cd 2.94, 8 Re 3.27
Cd 0.5000 0.5000 0.0000  4 Ba 2.94, 8 Re 3.27
Re 0.0000 0.5000 0.5000  4 Re 2.94, 4 Cd 3.27, 4 Ba 3.27
Re 0.5000 0.0000 0.5000  4 Re 2.94, 4 Cd 3.27, 4 Ba 3.27

Calculated volume ... 21.83 A^3/atom
DFT formation energy ... 1540 meV/atom
Space group ... P4/mmm (123)
Calculated total energy ... -5.393 eV per atom

=====

A geometry-optimized LaTiCu2Cl structure. Source: Alexandria via LeMat-Bulk, functional GGA-PBE.

Cell lengths 5.2848, 5.2848, 5.9774 Å; angles 90.00, 90.00, 90.00 degrees
Closest atoms and distances in Å follow each position.
Atoms (fractional coordinates):
La 0.0000 0.0000 0.0000  4 Cu 2.64
Ti 0.0000 0.0000 0.5000  2 La 2.99
Cu 0.0000 0.5000 0.0000  2 La 2.64
Cu 0.5000 0.0000 0.0000  2 La 2.64
Cl 0.5000 0.5000 0.5000  4 Ti 3.74, 8 Cu 3.99

Calculated volume ... 33.39 A^3/atom
Space group ... P4/mmm (123)
Energy relative to the lowest polymorph listed for this composition ... 0.435 eV per atom
Calculated total energy ... -3.331 eV per atom

=====

A geometry-optimized RbInSb2I structure. Source: Alexandria via LeMat-Bulk, functional GGA-PBE.

Cell lengths 5.6655, 5.6655, 6.8127 Å; angles 90.00, 90.00, 90.00 degrees
Closest atoms and distances in Å follow each position.
Atoms (fractional coordinates):
Rb 0.0000 0.0000 0.0000  4 I 4.01, 8 Sb 4.43
In 0.5000 0.5000 0.5000  4 Sb 2.83
Sb 0.0000 0.5000 0.5000  2 In 2.83
Sb 0.5000 0.0000 0.5000  2 In 2.83
I 0.5000 0.5000 0.0000  2 In 3.41

Calculated volume ... 43.73 A^3/atom
Space group ... P4/mmm (123)
Energy relative to the lowest polymorph listed for this composition ... 0.000 eV per atom
Calculated total energy ... -2.715 eV per atom